Entry 1:
## SrMnTc2 (GGA-PBE)

Data for a relaxed SrMnTc2 crystal.

extended XYZ file:
```
4
Lattice="-2.918 -3.610 -0.376 1.295 -4.209 1.517 -1.971 -1.809 3.813" Properties=species:S:1:pos:R:3 pbc="T T T"
Mn -1.797 -4.814 2.477
Sr -2.696 -7.222 3.715
Tc -0.899 -2.407 1.238
Tc 0.000 0.000 0.000
```

Properties
ρ   7.9 g/cm3
Density of states at the Fermi level   1.29 states/eV/atom
Excess energy over the best structure of this formula in the dataset   0.448 eV per atom
Formation energy   84.22 kJ/mol of atoms
E   -7.02 eV per atom

---

Entry 2:
## CeYAl (GGA-PBE)

Data for a relaxed CeYAl crystal.

extended XYZ file:
```
6
Lattice="5.144 -0.001 -0.001 -2.571 5.619 0.148 -2.571 -1.665 5.367" Properties=species:S:1:pos:R:3 pbc="T T T"
Ce -2.571 3.115 1.944
Ce 2.573 0.839 3.569
Al 0.001 4.504 0.944
Al 0.001 -0.551 4.570
Y 0.001 3.021 4.216
Y 0.000 0.932 1.298
```

Properties
ρ   5.4 g/cm3
Density of states at the Fermi level   1.84 states/eV/atom
Excess energy over the best structure of this formula in the dataset   0.050 eV per atom
Formation energy   -15.07 kJ/mol of atoms
E   -5.54 eV per atom

---

Entry 3:
## ThMgZn17 (GGA-PBE)

Data for a relaxed ThMgZn17 crystal.

extended XYZ file:
```
19
Lattice="6.776 0.038 0.841 0.748 6.735 0.841 0.042 0.038 6.828" Properties=species:S:1:pos:R:3 pbc="T T T"
Zn 2.655 2.389 6.355
Zn 6.000 2.389 3.381
Zn 7.119 3.455 8.008
Zn 4.182 6.717 8.008
Zn 0.283 2.007 4.990
Zn 2.026 0.071 4.990
Zn 2.513 4.685 0.866
Zn 3.006 5.716 3.381
Zn 4.923 2.007 0.866
Zn 0.798 0.719 0.898
Zn 6.834 6.151 7.688
Zn 4.876 4.389 2.200
Zn 7.463 6.717 5.092
Zn 4.718 0.071 2.597
Zn 0.565 4.685 2.597
Zn 4.534 1.145 5.100
Zn 1.614 4.389 5.100
Th 4.995 4.496 5.619
Mg 2.773 2.496 3.119
```

Properties
ρ   7.3 g/cm3
Density of states at the Fermi level   0.25 states/eV/atom
Formation energy   -10.88 kJ/mol of atoms
E   -1.73 eV per atom

---

Entry 4:
## NaNdO (GGA-PBE)

Data for a relaxed NaNdO crystal.

extended XYZ file:
```
3
Lattice="-1.838 -1.033 3.276 -0.560 -2.037 -3.273 5.127 -4.002 1.613" Properties=species:S:1:pos:R:3 pbc="T T T"
O 1.722 -3.817 -0.238
Nd 1.015 -3.262 1.857
Na 5.118 -3.995 1.611
```

Properties
ρ   3.5 g/cm3
Density of states at the Fermi level   0.35 states/eV/atom
Excess energy over the best structure of this formula in the dataset   0.175 eV per atom
Energy relative to the elements, uncorrected   -4.8 eV per formula unit
E   -5.27 eV per atom

---

Entry 5:
## PaAs2Pb (GGA-PBE)

Data for a relaxed PaAs2Pb crystal.

extended XYZ file:
```
4
Lattice="4.142 0.000 0.000 2.071 3.587 0.000 2.071 1.196 8.890" Properties=species:S:1:pos:R:3 pbc="T T T"
As 6.212 3.587 2.935
As 2.071 1.196 5.955
Pb 0.000 0.000 0.000
Pa 4.142 2.391 4.445
```

Properties
ρ   7.4 g/cm3
Density of states at the Fermi level   0.42 states/eV/atom
Excess energy over the best structure of this formula in the dataset   0.206 eV per atom
Formation energy   -28.26 kJ/mol of atoms
E   -5.92 eV per atom

---

Entry 6:
## GaTeIr (GGA-PBE)

Data for a relaxed GaTeIr crystal.

extended XYZ file:
```
6
Lattice="-2.492 5.340 2.131 -2.684 -0.686 -1.421 -0.746 -6.300 4.450" Properties=species:S:1:pos:R:3 pbc="T T T"
Ir -0.630 -1.609 1.967
Ir -2.346 -5.102 3.482
Te -3.847 1.311 3.222
Te -2.878 -1.496 6.158
Ga -2.409 0.066 1.106
Ga -1.440 -2.741 4.042
```

Properties
ρ   9.6 g/cm3
Density of states at the Fermi level   0.26 states/eV/atom
Excess energy over the best structure of this formula in the dataset   0.134 eV per atom
Energy relative to the elements, uncorrected   -0.2 eV per formula unit
E   -5.06 eV per atom

---

Entry 7:
## LiAc2Ge3Au4 (GGA-PBE)

Data for a relaxed LiAc2Ge3Au4 crystal.

extended XYZ file:
```
10
Lattice="4.575 0.000 0.000 0.000 4.575 0.000 0.000 0.000 10.586" Properties=species:S:1:pos:R:3 pbc="T T T"
Au 0.000 2.287 4.023
Au 2.287 0.000 6.563
Au 0.000 0.000 0.000
Au 2.287 2.287 0.000
Ge 0.000 2.287 1.437
Ge 2.287 0.000 9.149
Ge 0.000 0.000 5.293
Ac 2.287 0.000 2.586
Ac 0.000 2.287 7.999
Li 2.287 2.287 5.293
```

Properties
ρ   11.0 g/cm3
Density of states at the Fermi level   0.50 states/eV/atom
Formation energy   -62.96 kJ/mol of atoms
E   -4.36 eV per atom

---

Entry 8:
## SmHoZn (GGA-PBE)

Data for a relaxed SmHoZn crystal.

extended XYZ file:
```
3
Lattice="4.981 -0.036 -0.051 -2.465 4.333 0.046 -2.466 -1.444 4.084" Properties=species:S:1:pos:R:3 pbc="T T T"
Sm 2.513 1.410 1.676
Zn 0.022 -0.016 2.710
Ho 0.047 2.855 3.740
```

Properties
ρ   7.2 g/cm3
Density of states at the Fermi level   1.47 states/eV/atom
Excess energy over the best structure of this formula in the dataset   0.235 eV per atom
Formation energy   2.76 kJ/mol of atoms
E   -3.49 eV per atom

---

Entry 9:
## Pr6CdIn3 (GGA-PBE)

Data for a relaxed Pr6CdIn3 crystal.

extended XYZ file:
```
20
Lattice="8.760 0.000 -0.195 0.000 8.220 0.000 -0.166 0.000 9.113" Properties=species:S:1:pos:R:3 pbc="T T T"
Pr 1.940 4.998 6.691
Pr 7.280 5.288 8.378
Pr 5.610 1.178 5.000
Pr 1.488 2.714 3.867
Pr 2.809 6.824 0.592
Pr 6.654 3.222 2.227
Pr 2.191 0.888 6.881
Pr 5.784 1.396 8.327
Pr 6.402 7.332 2.037
Pr 2.983 7.042 3.919
Pr 7.106 5.506 5.051
Pr 1.313 2.932 0.540
In 3.928 1.378 1.952
In 0.369 5.488 2.507
In 8.224 2.732 6.411
In 4.380 4.110 -0.097
In -0.083 0.000 4.557
In 4.666 6.842 6.966
Cd 4.297 4.110 4.459
Cd 0.000 0.000 0.000
```

Properties
ρ   6.6 g/cm3
Density of states at the Fermi level   0.98 states/eV/atom
Excess energy over the best structure of this formula in the dataset   0.146 eV per atom
Formation energy   -19.47 kJ/mol of atoms
E   -3.98 eV per atom

---

Entry 10:
## Ce3Al7Co4 (GGA-PBE)

Data for a relaxed Ce3Al7Co4 crystal.

extended XYZ file:
```
14
Lattice="0.444 -3.698 1.819 5.610 -3.536 -3.834 7.336 0.607 4.167" Properties=species:S:1:pos:R:3 pbc="T T T"
Al 6.064 -4.479 -1.140
Al 7.325 -2.148 3.292
Al 4.049 -2.688 -1.729
Al 4.714 -2.793 2.617
Al 9.340 -3.940 3.881
Al 8.676 -3.834 -0.465
Al 0.000 0.000 0.000
Co 5.632 -0.467 2.400
Co 9.056 -2.714 1.719
Co 4.334 -3.913 0.434
Co 7.757 -6.161 -0.248
Ce 6.473 -1.465 0.166
Ce 2.651 -1.654 0.714
Ce 10.739 -4.974 1.438
```

Properties
ρ   5.9 g/cm3
Density of states at the Fermi level   0.88 states/eV/atom
Formation energy   -44.58 kJ/mol of atoms
E   -5.64 eV per atom

---

What did the second record say?
## CeYAl (GGA-PBE)

Data for a relaxed CeYAl crystal.

extended XYZ file:
```
6
Lattice="5.144 -0.001 -0.001 -2.571 5.619 0.148 -2.571 -1.665 5.367" Properties=species:S:1:pos:R:3 pbc="T T T"
Ce -2.571 3.115 1.944
Ce 2.573 0.839 3.569
Al 0.001 4.504 0.944
Al 0.001 -0.551 4.570
Y 0.001 3.021 4.216
Y 0.000 0.932 1.298
```

Properties
ρ   5.4 g/cm3
Density of states at the Fermi level   1.84 states/eV/atom
Excess energy over the best structure of this formula in the dataset   0.050 eV per atom
Formation energy   -15.07 kJ/mol of atoms
E   -5.54 eV per atom